(1)
Here is Dy4Tm5Cd2 after structural relaxation from Alexandria via LeMat-Bulk. Energies are from GGA-PBE.

Geometry as CIF:
```
data_Dy4Tm5Cd2
_cell_length_a 8.483
_cell_length_b 3.443
_cell_length_c 11.091
_cell_angle_alpha 90.00
_cell_angle_beta 93.34
_cell_angle_gamma 90.00
_symmetry_space_group_name_H-M 'P 1 2/m 1'
_symmetry_Int_Tables_number 10
loop_
_symmetry_equiv_pos_as_xyz
'x,y,z'
'-x,-y,-z'
'-x,y,-z'
'x,-y,z'
loop_
_atom_site_label
_atom_site_type_symbol
_atom_site_fract_x
_atom_site_fract_y
_atom_site_fract_z
_atom_site_occupancy
Dy1 Dy 0.146 0.000 0.384 1
Dy2 Dy 0.279 0.000 0.951 1
Tm1 Tm 0.203 0.500 0.667 1
Tm2 Tm 0.429 0.500 0.206 1
Tm3 Tm 0.500 0.500 0.500 1
Cd1 Cd 0.055 0.500 0.133 1
```

Calculated values
- Calculated volume: 29.40 A^3/atom
- Energy of formation: 0.02 eV per atom
- N(E_F): 16.1 states/eV/f.u.



(2)
Here is Dy2Tm3Cd after structural relaxation from Alexandria via LeMat-Bulk. Energies are from GGA-PBE.

Geometry as CIF:
```
data_Dy2Tm3Cd
_cell_length_a 3.413
_cell_length_b 16.771
_cell_length_c 6.440
_cell_angle_alpha 90.00
_cell_angle_beta 90.00
_cell_angle_gamma 90.00
_symmetry_space_group_name_H-M 'I m m 2'
_symmetry_Int_Tables_number 44
loop_
_symmetry_equiv_pos_as_xyz
'x,y,z'
'-x,-y,z'
'-x,y,z'
'x,-y,z'
'x+1/2,y+1/2,z+1/2'
'-x+1/2,-y+1/2,z+1/2'
'-x+1/2,y+1/2,z+1/2'
'x+1/2,-y+1/2,z+1/2'
loop_
_atom_site_label
_atom_site_type_symbol
_atom_site_fract_x
_atom_site_fract_y
_atom_site_fract_z
_atom_site_occupancy
Dy1 Dy 0.000 0.192 0.000 1
Tm1 Tm 0.000 0.132 0.495 1
Tm2 Tm 0.000 0.500 0.689 1
Cd1 Cd 0.000 0.000 0.799 1
```

Calculated values
- Calculated volume: 30.72 A^3/atom
- Energy of formation: 0.16 eV per atom
- N(E_F): 7.0 states/eV/f.u.



(3)
Here is Dy12Tm5Cd2 after structural relaxation from Alexandria via LeMat-Bulk. Energies are from GGA-PBE.

Geometry as CIF:
```
data_Dy12Tm5Cd2
_cell_length_a 15.512
_cell_length_b 9.130
_cell_length_c 8.202
_cell_angle_alpha 90.00
_cell_angle_beta 90.88
_cell_angle_gamma 90.00
_symmetry_space_group_name_H-M 'C 1 2/m 1'
_symmetry_Int_Tables_number 12
loop_
_symmetry_equiv_pos_as_xyz
'x,y,z'
'-x,-y,-z'
'-x,y,-z'
'x,-y,z'
'x+1/2,y+1/2,z'
'-x+1/2,-y+1/2,-z'
'-x+1/2,y+1/2,-z'
'x+1/2,-y+1/2,z'
loop_
_atom_site_label
_atom_site_type_symbol
_atom_site_fract_x
_atom_site_fract_y
_atom_site_fract_z
_atom_site_occupancy
Dy1 Dy 0.055 0.000 0.323 1
Dy2 Dy 0.088 0.500 0.892 1
Dy3 Dy 0.125 0.196 0.662 1
Dy4 Dy 0.153 0.315 0.242 1
Tm1 Tm 0.000 0.500 0.500 1
Tm2 Tm 0.194 0.000 0.006 1
Tm3 Tm 0.236 0.500 0.583 1
Cd1 Cd 0.000 0.181 0.000 1
```

Calculated values
- Calculated volume: 30.56 A^3/atom
- Energy of formation: 0.05 eV per atom
- N(E_F): 29.8 states/eV/f.u.



(4)
Here is Dy2Tm3Cd6 after structural relaxation from Alexandria via LeMat-Bulk. Energies are from GGA-PBE.

Geometry as CIF:
```
data_Dy2Tm3Cd6
_cell_length_a 4.955
_cell_length_b 4.955
_cell_length_c 27.378
_cell_angle_alpha 90.00
_cell_angle_beta 90.00
_cell_angle_gamma 90.00
_symmetry_space_group_name_H-M 'I 4/m m m'
_symmetry_Int_Tables_number 139
_symmetry_space_group_name_Hall '-I 4 2'
loop_
_atom_site_label
_atom_site_type_symbol
_atom_site_fract_x
_atom_site_fract_y
_atom_site_fract_z
_atom_site_occupancy
Dy1 Dy 0.000 0.000 0.135 1
Tm1 Tm 0.000 0.000 0.365 1
Tm2 Tm 0.000 0.000 0.500 1
Cd1 Cd 0.000 0.000 0.250 1
Cd2 Cd 0.000 0.500 0.064 1
```

Calculated values
- Calculated volume: 30.56 A^3/atom
- Energy of formation: 0.12 eV per atom
- N(E_F): 8.8 states/eV/f.u.



(5)
Here is Dy3TmCd3 after structural relaxation from Alexandria via LeMat-Bulk. Energies are from GGA-PBE.

Geometry as CIF:
```
data_Dy3TmCd3
_cell_length_a 10.738
_cell_length_b 10.595
_cell_length_c 6.884
_cell_angle_alpha 90.00
_cell_angle_beta 90.01
_cell_angle_gamma 90.00
_symmetry_space_group_name_H-M 'C 1 2/m 1'
_symmetry_Int_Tables_number 12
loop_
_symmetry_equiv_pos_as_xyz
'x,y,z'
'-x,-y,-z'
'-x,y,-z'
'x,-y,z'
'x+1/2,y+1/2,z'
'-x+1/2,-y+1/2,-z'
'-x+1/2,y+1/2,-z'
'x+1/2,-y+1/2,z'
loop_
_atom_site_label
_atom_site_type_symbol
_atom_site_fract_x
_atom_site_fract_y
_atom_site_fract_z
_atom_site_occupancy
Dy1 Dy 0.000 0.197 0.000 1
Dy2 Dy 0.000 0.261 0.500 1
Dy3 Dy 0.207 0.000 0.500 1
Tm1 Tm 0.233 0.500 0.000 1
Cd1 Cd 0.000 0.500 0.251 1
Cd2 Cd 0.250 0.250 0.248 1
```

Calculated values
- Calculated volume: 27.97 A^3/atom
- Energy of formation: -0.13 eV per atom
- N(E_F): 6.7 states/eV/f.u.



(6)
Here is Dy8Tm2Cd after structural relaxation from Alexandria via LeMat-Bulk. Energies are from GGA-PBE.

Geometry as CIF:
```
data_Dy8Tm2Cd
_cell_length_a 19.139
_cell_length_b 5.530
_cell_length_c 6.366
_cell_angle_alpha 90.00
_cell_angle_beta 94.54
_cell_angle_gamma 90.00
_symmetry_space_group_name_H-M 'C 1 2/m 1'
_symmetry_Int_Tables_number 12
loop_
_symmetry_equiv_pos_as_xyz
'x,y,z'
'-x,-y,-z'
'-x,y,-z'
'x,-y,z'
'x+1/2,y+1/2,z'
'-x+1/2,-y+1/2,-z'
'-x+1/2,y+1/2,-z'
'x+1/2,-y+1/2,z'
loop_
_atom_site_label
_atom_site_type_symbol
_atom_site_fract_x
_atom_site_fract_y
_atom_site_fract_z
_atom_site_occupancy
Dy1 Dy 0.044 0.000 0.263 1
Dy2 Dy 0.080 0.500 0.596 1
Dy3 Dy 0.155 0.000 0.803 1
Dy4 Dy 0.161 0.500 0.121 1
Tm1 Tm 0.241 0.000 0.335 1
Cd1 Cd 0.000 0.500 0.000 1
```

Calculated values
- Calculated volume: 30.53 A^3/atom
- Energy of formation: -0.02 eV per atom
- N(E_F): 14.8 states/eV/f.u.



(7)
Here is DyTm2Cd3 after structural relaxation from Alexandria via LeMat-Bulk. Energies are from GGA-PBE.

Geometry as CIF:
```
data_DyTm2Cd3
_cell_length_a 3.713
_cell_length_b 3.713
_cell_length_c 11.127
_cell_angle_alpha 90.00
_cell_angle_beta 90.00
_cell_angle_gamma 90.00
_symmetry_space_group_name_H-M 'P 4/m m m'
_symmetry_Int_Tables_number 123
_symmetry_space_group_name_Hall '-P 4 2'
loop_
_atom_site_label
_atom_site_type_symbol
_atom_site_fract_x
_atom_site_fract_y
_atom_site_fract_z
_atom_site_occupancy
Dy1 Dy 0.000 0.000 0.000 1
Tm1 Tm 0.000 0.000 0.335 1
Cd1 Cd 0.500 0.500 0.171 1
Cd2 Cd 0.500 0.500 0.500 1
```

Calculated values
- Calculated volume: 25.57 A^3/atom
- Energy of formation: -0.31 eV per atom
- N(E_F): 5.2 states/eV/f.u.



(8)
Here is Dy8Tm2Cd after structural relaxation from Alexandria via LeMat-Bulk. Energies are from GGA-PBE.

Geometry as CIF:
```
data_Dy8Tm2Cd
_cell_length_a 6.043
_cell_length_b 6.061
_cell_length_c 9.238
_cell_angle_alpha 90.07
_cell_angle_beta 96.07
_cell_angle_gamma 99.80
_symmetry_space_group_name_H-M 'P -1'
_symmetry_Int_Tables_number 2
loop_
_symmetry_equiv_pos_as_xyz
'x,y,z'
'-x,-y,-z'
loop_
_atom_site_label
_atom_site_type_symbol
_atom_site_fract_x
_atom_site_fract_y
_atom_site_fract_z
_atom_site_occupancy
Dy1 Dy 0.049 0.094 0.179 1
Dy2 Dy 0.134 0.275 0.544 1
Dy3 Dy 0.231 0.459 0.910 1
Dy4 Dy 0.411 0.819 0.638 1
Tm1 Tm 0.312 0.638 0.270 1
Cd1 Cd 0.500 0.000 0.000 1
```

Calculated values
- Calculated volume: 30.14 A^3/atom
- Energy of formation: 0.00 eV per atom
- N(E_F): 14.7 states/eV/f.u.



- Which of these has the lowest calculated volume?
  DyTm2Cd3